DFT (GGA+U) results for a relaxed structure of VGaN2F.

Lattice parameters (Å, degrees): 3.8503 3.8503 4.0091 90.00 90.00 90.00
Last column: nearest neighbours and their distance in Å.
Positions (direct):
V 0.0000 0.0000 0.0000  4 N 1.93, 2 F 2.00
F 0.0000 0.0000 0.5000  2 V 2.00
N 0.5000 0.0000 0.0000  2 V 1.93
N 0.0000 0.5000 0.0000  2 V 1.93
Ga 0.5000 0.5000 0.5000  4 F 2.72, 8 N 2.78

Results
Energy relative to the lowest polymorph listed for this composition, meV per atom: 0
Calculated density, g/cm³: 4.685